DFT (PBE) results for a relaxed TaCuW crystal.

Computed properties:
The value obtained for the energy of formation from the pure elements is 0.811 eV per atom. For the energy above the lowest structure with this stoichiometry, the calculation gives 0.755 eV/atom. For the uncorrected energy, the calculation gives -8.82 eV/atom.

abc: 4.1799 4.1799 4.1799
angles: 60.00 60.00 60.00
With the nearest neighbours (Å) after each atom.
Sites, in units of the cell vectors:
Ta: 0.0000 0.0000 0.0000  4 Cu 2.56
Cu: 0.7500 0.7500 0.7500  4 Ta 2.56, 4 W 2.56
W: 0.5000 0.5000 0.5000  4 Cu 2.56